MoOs3N: relaxed, GGA-PBE.

Calculated values
E_form (uncorrected) = 57 kJ per mole of atoms
theoretical density = 16.960 Mg/m³
total energy = -9.97 eV/atom

abc: 4.0542 4.0542 4.0542
angles: 90.00 90.00 90.00
Space group Pm-3m (No. 221)
Unique sites:
Mo 0.0000 0.0000 0.0000 [1 per cell]
Os 0.0000 0.5000 0.5000 [3 per cell]
N 0.5000 0.5000 0.5000 [1 per cell]